7
Lattice="-2.522 -1.891 -2.188 2.276 -3.500 0.402 -3.421 1.026 6.421" Properties=species:S:1:pos:R:3 comment="K2VOF3 | Alexandria via LeMat-Bulk | PBE with a Hubbard U | optimized geometry" final_energy_ev_per_atom=-5.478 mass_density_g_cm3=3.08 magmom_total_mub_per_fu=2.0 n_ef_per_ev_cell=0.9 pbc="T T T"
K -1.167 -3.188 0.736
K -2.500 -1.178 3.900
V 0.000 0.000 0.000
O -1.261 -0.946 -1.094
F 1.138 -1.750 0.201
F -1.096 -0.516 1.709
F -2.572 -3.849 2.926